A plane-wave DFT calculation with PBE was carried out for an optimized crystal structure of Nd6TlZn3.

a = 9.5917 Å, b = 5.2034 Å, c = 11.5828 Å
α = 90.00°, β = 105.98°, γ = 90.00°
Fractional coordinates of all 20 atoms:
1 Nd 0.0370 0.2500 0.4091
2 Nd 0.1465 0.7500 0.1853
3 Nd 0.2199 0.2500 0.9896
4 Nd 0.3200 0.7500 0.7998
5 Nd 0.3799 0.2500 0.3426
6 Nd 0.3892 0.2500 0.6196
7 Nd 0.6108 0.7500 0.3804
8 Nd 0.6201 0.7500 0.6574
9 Nd 0.6800 0.2500 0.2002
10 Nd 0.7801 0.7500 0.0104
11 Nd 0.8535 0.2500 0.8147
12 Nd 0.9630 0.7500 0.5909
13 Tl 0.4491 0.7500 0.0997
14 Tl 0.5509 0.2500 0.9003
15 Zn 0.0296 0.7500 0.8766
16 Zn 0.1139 0.2500 0.7091
17 Zn 0.2718 0.7500 0.4760
18 Zn 0.7282 0.2500 0.5240
19 Zn 0.8861 0.7500 0.2909
20 Zn 0.9704 0.2500 0.1234

Results
- SG = P2_1/m (11)
- calculated formation energy (eV per atom) = -0.22

=====

A plane-wave DFT calculation with PBE was carried out for an optimized crystal structure of TaRe2Hg.

a = 2.7976 Å, b = 2.7976 Å, c = 9.4120 Å
α = 90.00°, β = 90.00°, γ = 110.56°
Fractional coordinates of all 4 atoms:
1 Ta 0.0000 0.0000 0.0000
2 Re 0.5000 0.5000 0.2305
3 Re 0.5000 0.5000 0.7695
4 Hg 0.0000 0.0000 0.5000

Results
- SG = Cmmm (65)
- calculated formation energy (eV per atom) = 0.34

=====

A plane-wave DFT calculation with PBE was carried out for an optimized crystal structure of B.

a = 5.0428 Å, b = 5.6155 Å, c = 6.9142 Å
α = 90.00°, β = 90.00°, γ = 90.00°
Fractional coordinates of all 28 atoms:
1 B 0.1479 0.2289 0.0000
2 B 0.1527 0.4075 0.2095
3 B 0.1527 0.4075 0.7905
4 B 0.1606 0.7188 0.1258
5 B 0.1606 0.7188 0.8742
6 B 0.1644 0.9919 0.5000
7 B 0.1703 0.4793 0.5000
8 B 0.3297 0.9793 0.0000
9 B 0.3356 0.4919 0.0000
10 B 0.3394 0.2188 0.3742
11 B 0.3394 0.2188 0.6258
12 B 0.3473 0.9075 0.2905
13 B 0.3473 0.9075 0.7095
14 B 0.3521 0.7289 0.5000
15 B 0.6479 0.2711 0.5000
16 B 0.6527 0.0925 0.2905
17 B 0.6527 0.0925 0.7095
18 B 0.6606 0.7812 0.3742
19 B 0.6606 0.7812 0.6258
20 B 0.6644 0.5081 0.0000
21 B 0.6703 0.0207 0.0000
22 B 0.8297 0.5207 0.5000
23 B 0.8356 0.0081 0.5000
24 B 0.8394 0.2812 0.1258
25 B 0.8394 0.2812 0.8742
26 B 0.8473 0.5925 0.2095
27 B 0.8473 0.5925 0.7905
28 B 0.8521 0.7711 0.0000

Results
- SG = Pnnm (58)
- calculated formation energy (eV per atom) = 0.03

=====

A plane-wave DFT calculation with PBE was carried out for an optimized crystal structure of Er6InAg2.

a = 8.6056 Å, b = 8.6056 Å, c = 8.6056 Å
α = 111.33°, β = 109.90°, γ = 107.21°
Fractional coordinates of all 18 atoms:
1 Er 0.0413 0.8222 0.2191
2 Er 0.2430 0.5396 0.2966
3 Er 0.2430 0.9464 0.7034
4 Er 0.2741 0.3173 0.5914
5 Er 0.2741 0.6827 0.9568
6 Er 0.3969 0.1778 0.2191
7 Er 0.6031 0.8222 0.7809
8 Er 0.7259 0.3173 0.0432
9 Er 0.7259 0.6827 0.4086
10 Er 0.7570 0.0536 0.2966
11 Er 0.7570 0.4604 0.7034
12 Er 0.9587 0.1778 0.7809
13 In 0.0000 0.5000 0.5000
14 In 0.5000 0.0000 0.5000
15 Ag 0.0000 0.1463 0.1463
16 Ag 0.0000 0.8537 0.8537
17 Ag 0.3665 0.3665 0.0000
18 Ag 0.6335 0.6335 0.0000

Results
- SG = Immm (71)
- calculated formation energy (eV per atom) = -0.22

=====

| no. | Fermi-level density of states (states/eV/atom) |
| --- | --- |
| 1 | 0.889 |
| 2 | 0.620 |
| 3 | 0.000 |
| 4 | 0.960 |